A crystal of LiScSb2 relaxed with PBEsol, computed with SCAN.

CIF file:
```
data_LiScSb2
_chemical_formula_sum 'Li1 Sc1 Sb2'
_space_group_name_H-M_alt 'P 1'
_space_group_IT_number 1
_space_group_name_Hall 'P 1'
_cell_length_a 3.984
_cell_length_b 4.452
_cell_length_c 4.871
_cell_angle_alpha 90.00
_cell_angle_beta 90.00
_cell_angle_gamma 90.00
loop_
_atom_site_label
_atom_site_fract_x
_atom_site_fract_y
_atom_site_fract_z
Li1 0.000 0.000 0.000
Sc1 0.000 0.500 0.500
Sb1 0.500 0.000 0.500
Sb2 0.500 0.500 0.000
```

Its polymorph energy (0 for the lowest one) is 0.049 eV/atom. The calculation puts the energy relative to the elements, uncorrected at -592 meV/atom.

A crystal of Cu2AsRu relaxed with PBEsol, computed with SCAN.

CIF file:
```
data_Cu2AsRu
_chemical_formula_sum 'Cu2 As1 Ru1'
_space_group_name_H-M_alt 'P 1'
_space_group_IT_number 1
_space_group_name_Hall 'P 1'
_cell_length_a 8.394
_cell_length_b 8.394
_cell_length_c 8.394
_cell_angle_alpha 18.77
_cell_angle_beta 18.77
_cell_angle_gamma 18.77
loop_
_atom_site_label
_atom_site_fract_x
_atom_site_fract_y
_atom_site_fract_z
Cu1 0.250 0.250 0.250
Cu2 0.750 0.750 0.750
As1 0.000 0.000 0.000
Ru1 0.500 0.500 0.500
```

For the formation energy, the calculation gives 0.3000 eV per atom.

Summary of volume in Å³ per cell
86.4; 53.5
(order as listed above)
Summary of E in eV per atom
-23.379; -21.054
(order as listed above)